First-principles (PBE) data for a geometry-optimized DyPu2Pb2 structure, as listed in Alexandria.

Summary:
The total energy comes out at -8.21 eV/atom.

Cell and atoms, written as POSCAR:
```
DyPu2Pb2
1.0
3.448 0.000 0.000
0.000 3.426 0.649
0.000 -0.520 12.110
Dy Pu Pb
1 2 2
Direct
0.000 0.000 0.000
0.000 0.190 0.620
0.000 0.810 0.380
0.500 0.406 0.188
0.500 0.594 0.812
```

---

First-principles (PBE) data for a geometry-optimized Dy2PuPb structure, as listed in Alexandria.

Summary:
The total energy comes out at -6.93 eV/atom. As for the offset from the most stable computed form: 67 meV per atom.

Cell and atoms, written as POSCAR:
```
Dy2PuPb
1.0
-2.152 -2.838 -0.160
0.489 -0.172 -3.527
7.162 -5.502 1.262
Pb Dy Pu
1 2 1
Direct
0.500 0.500 0.000
0.000 0.000 0.760
0.000 0.000 0.240
0.500 0.500 0.500
```

---

First-principles (PBE) data for a geometry-optimized DyPuPb6 structure, as listed in Alexandria.

Summary:
The total energy comes out at -5.37 eV/atom.

Cell and atoms, written as POSCAR:
```
DyPuPb6
1.0
-2.095 -4.349 0.749
3.773 -1.335 2.802
-4.533 3.524 7.782
Dy Pu Pb
1 1 6
Direct
0.000 0.000 0.000
0.000 0.000 0.500
0.500 0.500 0.000
0.500 0.500 0.500
0.500 0.000 0.250
0.500 0.000 0.750
0.000 0.500 0.250
0.000 0.500 0.750
```

---

First-principles (PBE) data for a geometry-optimized DyPu2Pb structure, as listed in Alexandria.

Summary:
The total energy comes out at -9.13 eV/atom. As for the offset from the most stable computed form: 279 meV per atom.

Cell and atoms, written as POSCAR:
```
DyPu2Pb
1.0
5.441 0.000 0.000
2.720 4.712 0.000
2.720 1.571 4.443
Pb Dy Pu
1 1 2
Direct
0.000 0.000 0.000
0.500 0.500 0.500
0.250 0.250 0.250
0.750 0.750 0.750
```